Entry 1:
A plane-wave DFT calculation with PBE was carried out for a relaxed Pu3Tc2Au crystal.

Values from the calculation:
Crystal system ... tetragonal
Calculated volume ... 20.5 Å³/atom
Symmetry ... P4/mmm
ΔH_f (0 K) ... -0.106 eV per atom

Lattice parameters (Å, degrees): 3.2726 3.2726 11.5062 90.00 90.00 90.00
Last column: nearest neighbours and their distance in Å.
Element x y z (fractional)
Tc 0.5000 0.5000 0.1532  8 Pu 2.91-2.92
Tc 0.5000 0.5000 0.8468  8 Pu 2.91-2.92
Au 0.5000 0.5000 0.5000  8 Pu 3.20, 4 Au 3.27
Pu 0.0000 0.0000 0.3083  4 Tc 2.92, 4 Au 3.20, 4 Pu 3.27
Pu 0.0000 0.0000 0.6917  4 Tc 2.92, 4 Au 3.20, 4 Pu 3.27
Pu 0.0000 0.0000 0.0000  8 Tc 2.91

***

Entry 2:
A plane-wave DFT calculation with PBE was carried out for a relaxed PuTcAu crystal.

Values from the calculation:
Crystal system ... monoclinic
Calculated volume ... 20.7 Å³/atom
Symmetry ... C2/m
ΔH_f (0 K) ... 0.020 eV per atom

Lattice parameters (Å, degrees): 4.3149 5.3126 7.0930 119.98 90.00 113.96
Last column: nearest neighbours and their distance in Å.
Element x y z (fractional)
Tc 0.6309 0.2619 0.1605  1 Tc 2.31
Tc 0.3691 0.7381 0.8395  1 Tc 2.31
Pu 0.0717 0.1434 0.8131  5 Tc 2.79-3.08
Pu 0.9283 0.8566 0.1869  5 Tc 2.79-3.08
Au 0.6782 0.3563 0.5847  3 Tc 2.77-2.78, 1 Au 2.98
Au 0.3218 0.6437 0.4153  3 Tc 2.77-2.78, 1 Au 2.98